Density functional theory data (PBE-GGA) for a relaxed structure of BRh2N.

POSCAR file:
```
BRh2N
1.0
-0.675 -2.380 3.944
1.240 -3.933 -2.161
4.697 -2.423 2.090
Rh N B
4 2 2
Direct
0.375 0.368 0.750
0.118 0.625 0.250
0.632 0.125 0.250
0.875 0.882 0.750
0.000 0.000 0.000
0.750 0.250 0.500
0.500 0.500 0.000
0.250 0.750 0.500
```

Calculated values
Uncorrected energy in eV per atom: -7.202
Size of the total moment in μB per atom: 0.000
E above lowest polymorph in meV/atom: 0